Record 1
Below is a relaxed structure of ZrIr, with properties calculated at the PBE level.

abc: 3.0969 3.0969 8.0322
angles: 90.00 90.00 90.00
Element x y z (fractional)
Zr (0.2500, 0.2500, 0.6746)
Zr (0.7500, 0.7500, 0.3254)
Ir (0.2500, 0.2500, 0.1220)
Ir (0.7500, 0.7500, 0.8780)

**Space group**: P4/nmm (129)

=====

Record 2
Below is a relaxed structure of ZrIr, with properties calculated at the PBE level.

abc: 3.7379 3.7379 5.6051
angles: 90.00 90.00 90.00
Element x y z (fractional)
Ir (0.0000, 0.0000, 0.9332)
Zr (0.0000, 0.0000, 0.4425)
Zr (0.5000, 0.5000, 0.8075)
Ir (0.5000, 0.5000, 0.3168)

**Space group**: P4/nmm (129)

=====

Record 3
Below is a relaxed structure of Zr3Ir2, with properties calculated at the PBE level.

abc: 8.5344 7.6451 5.5307
angles: 78.96 61.55 39.50
Element x y z (fractional)
Ir (0.0868, 0.3072, 0.9005)
Zr (0.5078, 0.7185, 0.4740)
Zr (0.2997, 0.4740, 0.7185)
Ir (0.3495, 0.5445, 0.1632)
Ir (0.7055, 0.9005, 0.3072)
Ir (0.9428, 0.1632, 0.5445)
Zr (0.9002, 0.0998, 0.0998)
Zr (0.5315, 0.7422, 0.9503)
Zr (0.1502, 0.3498, 0.3498)
Zr (0.7760, 0.9503, 0.7422)

**E above lowest polymorph**: 140.8 meV per atom
**Space group**: Fdd2 (43)

=====

Record 4
Below is a relaxed structure of ZrIr, with properties calculated at the PBE level.

abc: 4.5595 4.5595 5.3954
angles: 90.00 90.00 120.00
Element x y z (fractional)
Ir (0.6667, 0.3333, 0.2500)
Zr (0.3333, 0.6667, 0.2500)
Ir (0.3333, 0.6667, 0.7500)
Zr (0.6667, 0.3333, 0.7500)

**Space group**: P6_3/mmc (194)

=====

Record 5
Below is a relaxed structure of Zr3Ir, with properties calculated at the PBE level.

abc: 4.7987 5.7166 3.4281
angles: 72.55 90.00 114.82
Element x y z (fractional)
Zr (0.2313, 0.4626, 0.2687)
Zr (0.5000, 0.0000, 0.5000)
Ir (0.0000, 0.0000, 0.0000)
Zr (0.7687, 0.5374, 0.7313)

**Space group**: Immm (71)

=====

Record 6
Below is a relaxed structure of ZrIr, with properties calculated at the PBE level.

abc: 4.6040 4.6040 8.0448
angles: 90.00 90.00 120.00
Element x y z (fractional)
Zr (0.0000, 0.0000, 0.7500)
Zr (0.0000, 0.0000, 0.2500)
Zr (0.3333, 0.6667, 0.7500)
Zr (0.6667, 0.3333, 0.2500)
Ir (0.3333, 0.6667, 0.4178)
Ir (0.3333, 0.6667, 0.0822)
Ir (0.6667, 0.3333, 0.5822)
Ir (0.6667, 0.3333, 0.9178)

**Space group**: P6_3/mmc (194)

=====

| no. | density (g cm⁻³) | total energy (eV/cell) |
| --- | --- | --- |
| 1 | 12.22 | -35.783 |
| 2 | 12.02 | -37.225 |
| 3 | 11.41 | -92.273 |
| 4 | 9.69 | -35.520 |
| 5 | 9.60 | -36.299 |
| 6 | 12.75 | -69.743 |